Here is a geometry-optimized Sc2TeAs structure from the Alexandria database. Energies are from PBEsol.

Lattice parameters (Å, degrees): 3.896 6.491 6.491 34.53 90.00 90.00
Element x y z (fractional)
1 Sc 0.000 0.000 0.000
2 Sc 0.500 0.304 0.304
3 Te 0.500 0.549 0.549
4 As 0.000 0.790 0.790

Formation energy without anion corrections: -4.35 eV/f.u.

Here is a geometry-optimized AlTc3Ag structure from the Alexandria database. Energies are from PBEsol.

Lattice parameters (Å, degrees): 4.689 4.689 4.689 90.00 90.00 90.00
Element x y z (fractional)
1 Al 0.000 0.000 0.000
2 Tc 0.000 0.500 0.500
3 Tc 0.500 0.000 0.500
4 Tc 0.500 0.500 0.000
5 Ag 0.500 0.500 0.500

Energy of formation from the pure elements: 2.493 eV per atom

Here is a geometry-optimized Zr2CoPt structure from the Alexandria database. Energies are from PBEsol.

Lattice parameters (Å, degrees): 4.118 5.260 5.260 37.23 90.00 90.00
Element x y z (fractional)
1 Zr 0.000 0.000 0.000
2 Zr 0.500 0.290 0.290
3 Co 0.000 0.744 0.744
4 Pt 0.500 0.567 0.567

Energy of formation from the pure elements: -0.702 eV per atom

Here is a geometry-optimized PbC structure from the Alexandria database. Energies are from PBEsol.

Lattice parameters (Å, degrees): 7.670 7.670 7.670 159.26 153.42 33.95
Element x y z (fractional)
1 Pb 0.351 0.101 0.250
2 Pb 0.649 0.899 0.750
3 C 0.016 0.766 0.250
4 C 0.984 0.234 0.750

Energy relative to the lowest polymorph listed for this composition: 11 meV per atom
Energy of formation from the pure elements: 0.899 eV per atom

Here is a geometry-optimized KNaBeTc2 structure from the Alexandria database. Energies are from PBEsol.

Lattice parameters (Å, degrees): 4.178 4.178 5.663 90.00 90.00 90.00
Element x y z (fractional)
1 K 0.000 0.000 0.000
2 Na 0.500 0.500 0.000
3 Be 0.000 0.000 0.500
4 Tc 0.000 0.500 0.500
5 Tc 0.500 0.000 0.500

Energy of formation from the pure elements: 1.341 eV per atom

Here is a geometry-optimized ErAgP2Se6 structure from the Alexandria database. Energies are from PBEsol.

Lattice parameters (Å, degrees): 6.505 6.505 13.468 90.00 90.00 120.00
Element x y z (fractional)
1 Er 0.000 0.000 0.250
2 Er 0.000 0.000 0.750
3 Ag 0.333 0.667 0.250
4 Ag 0.667 0.333 0.750
5 P 0.333 0.667 0.666
6 P 0.333 0.667 0.834
7 P 0.667 0.333 0.166
8 P 0.667 0.333 0.334
9 Se 0.014 0.341 0.883
10 Se 0.014 0.673 0.617
11 Se 0.327 0.341 0.617
12 Se 0.327 0.986 0.883
13 Se 0.341 0.014 0.383
14 Se 0.341 0.327 0.117
15 Se 0.659 0.673 0.883
16 Se 0.659 0.986 0.617
17 Se 0.673 0.014 0.117
18 Se 0.673 0.659 0.383
19 Se 0.986 0.327 0.383
20 Se 0.986 0.659 0.117

Formation energy without anion corrections: -5.23 eV/f.u.

Here is a geometry-optimized CdInBr3 structure from the Alexandria database. Energies are from PBEsol.

Lattice parameters (Å, degrees): 5.383 5.383 5.383 90.00 90.00 90.00
Element x y z (fractional)
1 Cd 0.000 0.000 0.000
2 In 0.500 0.500 0.500
3 Br 0.000 0.000 0.500
4 Br 0.000 0.500 0.000
5 Br 0.500 0.000 0.000

Energy relative to the lowest polymorph listed for this composition: 110 meV per atom
Formation energy without anion corrections: -3.15 eV/f.u.

Here is a geometry-optimized CoRh2O4 structure from the Alexandria database. Energies are from PBEsol.

Lattice parameters (Å, degrees): 5.960 5.960 5.960 60.00 60.00 60.00
Element x y z (fractional)
1 Co 0.125 0.125 0.125
2 Co 0.875 0.875 0.875
3 Rh 0.000 0.500 0.500
4 Rh 0.500 0.000 0.500
5 Rh 0.500 0.500 0.000
6 Rh 0.500 0.500 0.500
7 O 0.258 0.258 0.258
8 O 0.258 0.258 0.726
9 O 0.258 0.726 0.258
10 O 0.274 0.742 0.742
11 O 0.726 0.258 0.258
12 O 0.742 0.274 0.742
13 O 0.742 0.742 0.274
14 O 0.742 0.742 0.742

Formation energy without anion corrections: -4.98 eV/f.u.

Here is a geometry-optimized ScS3O structure from the Alexandria database. Energies are from PBEsol.

Lattice parameters (Å, degrees): 4.870 4.870 4.870 90.00 90.00 90.00
Element x y z (fractional)
1 Sc 0.000 0.000 0.000
2 S 0.000 0.000 0.500
3 S 0.000 0.500 0.000
4 S 0.500 0.000 0.000
5 O 0.500 0.500 0.500

Formation energy without anion corrections: 1.76 eV/f.u.

Here is a geometry-optimized LiYZn4 structure from the Alexandria database. Energies are from PBEsol.

Lattice parameters (Å, degrees): 5.225 5.225 5.225 60.00 60.00 60.00
Element x y z (fractional)
1 Li 0.000 0.000 0.000
2 Y 0.750 0.750 0.750
3 Zn 0.375 0.375 0.375
4 Zn 0.375 0.375 0.876
5 Zn 0.375 0.876 0.375
6 Zn 0.876 0.375 0.375

Energy of formation from the pure elements: -0.270 eV per atom

Here is a geometry-optimized TaCl3 structure from the Alexandria database. Energies are from PBEsol.

Lattice parameters (Å, degrees): 4.134 4.134 4.134 90.00 90.00 90.00
Element x y z (fractional)
1 Ta 0.000 0.000 0.000
2 Cl 0.000 0.500 0.500
3 Cl 0.500 0.000 0.500
4 Cl 0.500 0.500 0.000

Formation energy without anion corrections: 1.20 eV/f.u.

Here is a geometry-optimized Tb2Ge2O7 structure from the Alexandria database. Energies are from PBEsol.

Lattice parameters (Å, degrees): 6.814 6.814 12.416 90.00 90.00 90.00
Element x y z (fractional)
1 Tb 0.126 0.352 0.115
2 Tb 0.148 0.626 0.365
3 Tb 0.352 0.126 0.885
4 Tb 0.374 0.852 0.135
5 Tb 0.626 0.148 0.635
6 Tb 0.648 0.874 0.385
7 Tb 0.852 0.374 0.865
8 Tb 0.874 0.648 0.615
9 Ge 0.100 0.153 0.630
10 Ge 0.153 0.100 0.370
11 Ge 0.347 0.600 0.880
12 Ge 0.400 0.653 0.620
13 Ge 0.600 0.347 0.120
14 Ge 0.653 0.400 0.380
15 Ge 0.847 0.900 0.870
16 Ge 0.900 0.847 0.130
17 O 0.031 0.078 0.873
18 O 0.065 0.662 0.178
19 O 0.078 0.031 0.127
20 O 0.144 0.317 0.295
21 O 0.162 0.435 0.928
22 O 0.183 0.644 0.545
23 O 0.198 0.198 0.500
24 O 0.302 0.698 0.750
25 O 0.317 0.144 0.705
26 O 0.338 0.935 0.322
27 O 0.356 0.817 0.955
28 O 0.422 0.531 0.123
29 O 0.435 0.162 0.072
30 O 0.469 0.578 0.377
31 O 0.531 0.422 0.877
32 O 0.565 0.838 0.572
33 O 0.578 0.469 0.623
34 O 0.644 0.183 0.455
35 O 0.662 0.065 0.822
36 O 0.683 0.856 0.205
37 O 0.698 0.302 0.250
38 O 0.802 0.802 0.000
39 O 0.817 0.356 0.045
40 O 0.838 0.565 0.428
41 O 0.856 0.683 0.795
42 O 0.922 0.969 0.627
43 O 0.935 0.338 0.678
44 O 0.969 0.922 0.373

Formation energy without anion corrections: -29.17 eV/f.u.

Here is a geometry-optimized YHgPb2 structure from the Alexandria database. Energies are from PBEsol.

Lattice parameters (Å, degrees): 5.988 5.988 4.532 112.14 112.14 44.29
Element x y z (fractional)
1 Y 0.000 0.000 0.000
2 Hg 0.500 0.500 0.500
3 Pb 0.250 0.250 0.750
4 Pb 0.750 0.750 0.250

Energy of formation from the pure elements: -0.364 eV per atom

Here is a geometry-optimized NdB2HF10 structure from the Alexandria database. Energies are from PBEsol.

Lattice parameters (Å, degrees): 7.077 5.849 8.727 90.00 112.28 90.00
Element x y z (fractional)
1 Nd 0.232 0.250 0.159
2 Nd 0.768 0.750 0.841
3 B 0.262 0.750 0.453
4 B 0.423 0.250 0.812
5 B 0.577 0.750 0.188
6 B 0.738 0.250 0.547
7 H 0.063 0.750 0.642
8 H 0.937 0.250 0.358
9 F 0.000 0.000 0.000
10 F 0.000 0.500 0.000
11 F 0.053 0.750 0.752
12 F 0.082 0.750 0.487
13 F 0.263 0.554 0.360
14 F 0.263 0.946 0.360
15 F 0.281 0.250 0.891
16 F 0.328 0.250 0.644
17 F 0.432 0.750 0.603
18 F 0.448 0.554 0.132
19 F 0.448 0.946 0.132
20 F 0.552 0.054 0.868
21 F 0.552 0.446 0.868
22 F 0.568 0.250 0.397
23 F 0.672 0.750 0.356
24 F 0.719 0.750 0.109
25 F 0.737 0.054 0.640
26 F 0.737 0.446 0.640
27 F 0.918 0.250 0.513
28 F 0.947 0.250 0.248

VASP energy: -6.058 eV per atom

Here is a geometry-optimized In7Te structure from the Alexandria database. Energies are from PBEsol.

Lattice parameters (Å, degrees): 6.697 6.697 6.697 60.00 60.00 60.00
Element x y z (fractional)
1 In 0.000 0.000 0.000
2 In 0.000 0.000 0.500
3 In 0.000 0.500 0.000
4 In 0.000 0.500 0.500
5 In 0.500 0.000 0.000
6 In 0.500 0.000 0.500
7 In 0.500 0.500 0.000
8 Te 0.500 0.500 0.500

Formation energy without anion corrections: -0.17 eV/f.u.

Here is a geometry-optimized Li2RuPtBr structure from the Alexandria database. Energies are from PBEsol.

Lattice parameters (Å, degrees): 4.255 4.255 4.720 90.00 90.00 90.00
Element x y z (fractional)
1 Li 0.000 0.500 0.000
2 Li 0.500 0.000 0.000
3 Ru 0.000 0.000 0.500
4 Pt 0.500 0.500 0.500
5 Br 0.000 0.000 0.000

Formation energy without anion corrections: 2.31 eV/f.u.

Here is a geometry-optimized LiMg3 structure from the Alexandria database. Energies are from PBEsol.

Lattice parameters (Å, degrees): 3.140 4.396 6.176 90.00 90.00 90.00
Element x y z (fractional)
1 Li 0.000 0.000 0.000
2 Mg 0.000 0.000 0.500
3 Mg 0.500 0.500 0.245
4 Mg 0.500 0.500 0.755

Energy of formation from the pure elements: -0.017 eV per atom

Here is a geometry-optimized LaSnPt structure from the Alexandria database. Energies are from PBEsol.

Lattice parameters (Å, degrees): 7.489 4.640 8.040 90.00 90.00 90.00
Element x y z (fractional)
1 La 0.015 0.250 0.193
2 La 0.485 0.750 0.693
3 La 0.515 0.250 0.307
4 La 0.985 0.750 0.807
5 Sn 0.173 0.250 0.582
6 Sn 0.327 0.750 0.082
7 Sn 0.673 0.250 0.918
8 Sn 0.827 0.750 0.418
9 Pt 0.210 0.750 0.407
10 Pt 0.290 0.250 0.907
11 Pt 0.710 0.750 0.093
12 Pt 0.790 0.250 0.593

Energy of formation from the pure elements: -1.062 eV per atom

Here is a geometry-optimized AlTcOs2 structure from the Alexandria database. Energies are from PBEsol.

Lattice parameters (Å, degrees): 4.359 4.359 2.924 90.00 90.00 90.00
Element x y z (fractional)
1 Al 0.000 0.000 0.000
2 Tc 0.500 0.500 0.000
3 Os 0.000 0.500 0.500
4 Os 0.500 0.000 0.500

Energy of formation from the pure elements: 0.039 eV per atom

Here is a geometry-optimized Y2BiPd2 structure from the Alexandria database. Energies are from PBEsol.

Lattice parameters (Å, degrees): 7.836 7.836 3.577 90.00 90.00 90.00
Element x y z (fractional)
1 Y 0.170 0.330 0.000
2 Y 0.330 0.830 0.000
3 Y 0.670 0.170 0.000
4 Y 0.830 0.670 0.000
5 Bi 0.000 0.000 0.500
6 Bi 0.500 0.500 0.500
7 Pd 0.124 0.624 0.500
8 Pd 0.376 0.124 0.500
9 Pd 0.624 0.876 0.500
10 Pd 0.876 0.376 0.500

Energy of formation from the pure elements: -0.904 eV per atom

Here is a geometry-optimized Tc2NiW structure from the Alexandria database. Energies are from PBEsol.

Lattice parameters (Å, degrees): 5.089 5.089 2.611 101.61 101.61 118.29
Element x y z (fractional)
1 Tc 0.000 0.500 0.000
2 Tc 0.500 0.000 0.000
3 Ni 0.000 0.000 0.500
4 W 0.500 0.500 0.500

Energy relative to the lowest polymorph listed for this composition: 194 meV per atom
Energy of formation from the pure elements: 0.170 eV per atom

Here is a geometry-optimized Ti2NbAl structure from the Alexandria database. Energies are from PBEsol.

Lattice parameters (Å, degrees): 5.579 5.579 4.626 90.00 90.00 115.07
Element x y z (fractional)
1 Ti 0.139 0.335 0.250
2 Ti 0.335 0.139 0.750
3 Ti 0.665 0.861 0.250
4 Ti 0.861 0.665 0.750
5 Nb 0.362 0.638 0.750
6 Nb 0.638 0.362 0.250
7 Al 0.163 0.837 0.250
8 Al 0.837 0.163 0.750

Energy of formation from the pure elements: -0.277 eV per atom

Here is a geometry-optimized LiInCl structure from the Alexandria database. Energies are from PBEsol.

Lattice parameters (Å, degrees): 4.912 4.912 4.912 60.00 60.00 60.00
Element x y z (fractional)
1 Li 0.000 0.000 0.000
2 In 0.500 0.500 0.500
3 Cl 0.750 0.750 0.750

Energy relative to the lowest polymorph listed for this composition: 0 meV per atom
Formation energy without anion corrections: -0.97 eV/f.u.